(a)
DFT (PBE) results for a relaxed ScReNi2 crystal.

The structure in POSCAR format:
```
ScReNi2
1.0
-2.5482 3.1892 -1.9321
-3.6919 0.8119 -2.4714
-3.2263 0.6823 3.8339
Ni Re Sc
2 1 1
Cartesian
-3.1304 0.6767 3.6550
-4.8291 2.3472 -0.1058
-7.0998 3.5125 -0.4271
-2.3666 1.1708 -0.1424
```

=====

(b)
DFT (PBE) results for a relaxed ScReNi2 crystal.

The structure in POSCAR format:
```
ScReNi2
1.0
8.7049 -0.0122 -0.0072
8.2640 2.7353 -0.0072
8.2640 1.3262 2.3923
Ni Re Sc
2 1 1
Cartesian
25.1557 4.0370 2.3708
12.6938 2.0371 1.1963
6.3083 1.0123 0.5945
18.9248 3.0370 1.7835
```

=====

Stability check: which of them is most stable? (a).

=====

(a)
DFT (PBE) results for a relaxed ScReNi2 crystal.

The structure in POSCAR format:
```
ScReNi2
1.0
3.8432 0.0000 0.0000
0.0000 3.8432 0.0000
1.9216 1.9216 8.5102
Sc Re Ni
2 2 4
Cartesian
1.9216 1.9216 0.0000
1.9216 3.8432 4.2551
0.0000 0.0000 0.0000
3.8432 1.9216 4.2551
3.0068 0.9608 2.1275
0.8365 2.8824 2.1275
2.8824 2.7581 6.3826
4.8040 4.9284 6.3826
```

=====

(b)
DFT (PBE) results for a relaxed ScReNi2 crystal.

The structure in POSCAR format:
```
ScReNi2
1.0
-3.4002 -1.6039 -0.4167
0.0759 -0.8290 2.5716
-2.3219 3.8341 4.1885
Ni Re Sc
2 1 1
Cartesian
0.0166 -0.7139 2.6124
-1.0637 1.3875 3.3392
-2.2616 -0.0507 1.4817
-3.3846 1.4519 4.8617
```

=====

(c)
DFT (PBE) results for a relaxed ScReNi2 crystal.

The structure in POSCAR format:
```
ScReNi2
1.0
-1.5077 3.9803 1.5690
-2.1762 -1.0998 3.8252
4.2168 -1.1074 -1.2530
Ni Re Sc
2 1 1
Cartesian
-0.0007 0.0005 0.0010
-1.8413 1.4397 2.6962
0.0994 -0.3835 2.6347
0.4336 2.1566 1.5066
```

=====

(d)
DFT (PBE) results for a relaxed ScReNi2 crystal.

The structure in POSCAR format:
```
ScReNi2
1.0
4.9079 0.0281 0.1021
4.1443 2.6294 0.1021
1.2650 0.3714 4.3789
Ni Re Sc
2 1 1
Cartesian
0.2281 0.0670 0.1547
7.5585 2.2190 3.2202
5.0960 1.4961 2.5840
2.5930 0.7613 0.9158
```

=====

Stability check: which of them is most stable? (b).